VASP calculation (PBE) on a relaxed Ag15Hg crystal.

POSCAR file:
```
Ag15Hg
1.0
4.081 0.000 0.000
0.000 4.082 0.000
0.000 0.000 41.413
Ag Hg
30 2
Direct
0.250 0.000 0.025
0.250 0.000 0.128
0.250 0.000 0.230
0.250 0.000 0.333
0.250 0.000 0.719
0.250 0.000 0.821
0.250 0.000 0.923
0.250 0.500 0.077
0.250 0.500 0.179
0.250 0.500 0.282
0.250 0.500 0.384
0.250 0.500 0.667
0.250 0.500 0.770
0.250 0.500 0.872
0.250 0.500 0.974
0.750 0.000 0.077
0.750 0.000 0.179
0.750 0.000 0.281
0.750 0.000 0.667
0.750 0.000 0.770
0.750 0.000 0.872
0.750 0.000 0.975
0.750 0.500 0.026
0.750 0.500 0.128
0.750 0.500 0.230
0.750 0.500 0.333
0.750 0.500 0.616
0.750 0.500 0.718
0.750 0.500 0.821
0.750 0.500 0.923
0.250 0.000 0.609
0.750 0.000 0.391
```

Distance to the lowest polymorph of the same formula = 0 meV per atom
Crystal system = orthorhombic
Total DFT energy (no corrections) = -2.63 eV per atom

VASP calculation (PBE) on a relaxed Hf2Ir2O5 crystal.

POSCAR file:
```
Hf2Ir2O5
1.0
3.756 0.000 0.000
0.000 3.756 0.000
0.000 0.000 7.183
Hf Ir O
2 2 5
Direct
0.000 0.000 0.000
0.000 0.000 0.500
0.500 0.500 0.190
0.500 0.500 0.810
0.000 0.500 0.291
0.000 0.500 0.709
0.500 0.000 0.291
0.500 0.000 0.709
0.500 0.500 0.500
```

Distance to the lowest polymorph of the same formula = 440 meV per atom
Crystal system = tetragonal
Total magnetic moment = 0.0 μB/f.u.
Total DFT energy (no corrections) = -7.94 eV per atom

VASP calculation (PBE) on a relaxed Zr3As4Pt4 crystal.

POSCAR file:
```
Zr3As4Pt4
1.0
-3.098 3.098 6.070
3.098 -3.098 6.070
3.098 3.098 -6.070
Zr As Pt
3 4 4
Direct
0.000 0.000 0.000
0.250 0.750 0.500
0.750 0.250 0.500
0.000 0.500 0.500
0.260 0.260 0.000
0.500 0.000 0.500
0.740 0.740 0.000
0.117 0.628 0.000
0.372 0.372 0.489
0.628 0.117 0.000
0.883 0.883 0.511
```

Distance to the lowest polymorph of the same formula = 31 meV per atom
Crystal system = tetragonal
Total magnetic moment = 0.0 μB/f.u.
Total DFT energy (no corrections) = -7.03 eV per atom

VASP calculation (PBE) on a relaxed SnBMo2 crystal.

POSCAR file:
```
SnBMo2
1.0
3.222 0.000 0.000
-1.611 2.790 0.000
0.000 0.000 13.507
Sn B Mo
2 2 4
Direct
0.333 0.667 0.250
0.667 0.333 0.750
0.000 0.000 0.000
0.000 0.000 0.500
0.333 0.667 0.586
0.333 0.667 0.914
0.667 0.333 0.086
0.667 0.333 0.414
```

Crystal system = hexagonal
Total magnetic moment = 0.0 μB/f.u.
Total DFT energy (no corrections) = -8.21 eV per atom